Ni2RhCl2O2 | GGA+U | optimized geometry

Lattice parameters (Å, degrees): 3.032 9.092 5.841 47.71 74.95 80.40
Site moments in Bohr magnetons follow the coordinates.
Atoms (fractional coordinates):
Cl 0.371 0.689 0.569  0.00
O 0.863 0.160 0.114  0.12
Ni 0.730 0.778 0.762  0.04
Ni 0.270 0.222 0.238  0.04
Cl 0.629 0.311 0.431  0.00
Rh 0.000 0.000 0.000  0.62
O 0.137 0.840 0.886  0.12

Output
- Total magnetization: 1.00 Bohr magnetons per cell
- Total DFT energy (no corrections): -4.04 eV/atom
- SG: C2/m, No. 12